Computed, not measured: crystalline CrInBiSb2 at its relaxed geometry at the GGA-PBE level of DFT.

a = 5.9405 Å, b = 5.9405 Å, c = 5.0291 Å
α = 90.00°, β = 90.00°, γ = 90.00°
Element x y z (fractional)
Cr1 0.0000 0.0000 0.0000
In1 0.5000 0.5000 0.0000
Bi1 0.0000 0.0000 0.5000
Sb1 0.0000 0.5000 0.5000
Sb2 0.5000 0.0000 0.5000

Results
E_tot	-3.620	eV per atom
space group	P4/mmm
polymorph energy (0 for the lowest one)	925	meV/atom
formation energy (no corrections)	1277	meV per atom